# PaCuPb2 (PBE-GGA, optimized geometry)
# crystal system = tetragonal
# calculated volume = 24.410 A^3/atom
# distance to the lowest polymorph of the same formula = 0.000 eV/atom
# Fermi-level density of states = 5.2 states/eV/f.u.
# total magnetic moment = 0.000 μB/f.u.
data_PaCuPb2
_chemical_formula_sum 'Pa1 Cu1 Pb2'
_symmetry_space_group_name_H-M 'P 1'
_symmetry_Int_Tables_number 1
_cell_length_a 4.6838
_cell_length_b 4.6838
_cell_length_c 4.4507
_cell_angle_alpha 90.00
_cell_angle_beta 90.00
_cell_angle_gamma 90.00
loop_
_symmetry_equiv_pos_as_xyz
'x,y,z'
loop_
_atom_site_label
_atom_site_type_symbol
_atom_site_fract_x
_atom_site_fract_y
_atom_site_fract_z
Pa1 Pa 0.0000 0.0000 0.0000
Cu1 Cu 0.5000 0.5000 0.0000
Pb1 Pb 0.0000 0.5000 0.5000
Pb2 Pb 0.5000 0.0000 0.5000


# Rb2UI2Br4 (PBE-GGA, optimized geometry)
# crystal system = monoclinic
# calculated volume = 44.337 A^3/atom
# uncorrected formation energy = -1.429 eV per atom
# Fermi-level density of states = 5.2 states/eV/f.u.
# total magnetic moment = 2.000 μB/f.u.
data_Rb2UI2Br4
_chemical_formula_sum 'Rb2 U1 I2 Br4'
_symmetry_space_group_name_H-M 'P 1'
_symmetry_Int_Tables_number 1
_cell_length_a 8.1570
_cell_length_b 8.1570
_cell_length_c 8.3634
_cell_angle_alpha 118.23
_cell_angle_beta 118.23
_cell_angle_gamma 58.60
loop_
_symmetry_equiv_pos_as_xyz
'x,y,z'
loop_
_atom_site_label
_atom_site_type_symbol
_atom_site_fract_x
_atom_site_fract_y
_atom_site_fract_z
Rb1 Rb 0.2480 0.2480 0.2178
Rb2 Rb 0.7520 0.7520 0.7822
U1 U 0.5000 0.5000 0.0000
I1 I 0.2553 0.2553 0.6725
I2 I 0.7447 0.7447 0.3275
Br1 Br 0.2073 0.6969 0.1821
Br2 Br 0.3031 0.7927 0.8179
Br3 Br 0.6969 0.2073 0.1821
Br4 Br 0.7927 0.3031 0.8179